Entry 1:
First-principles (GGA-PBE) data for crystalline LiDy2Cu9 at its relaxed geometry, as listed in Alexandria via LeMat-Bulk.

Summary:
calculated density = 8.11 g/cm³
magnetization = 0.00 μB per cell
E_tot = -49.27 eV/cell

Cell lengths 8.7432, 8.7432, 8.7432 Å; angles 33.87, 33.87, 33.87 degrees
With the nearest neighbours (Å) after each atom.
Sites, in units of the cell vectors:
Li (0.0000, 0.0000, 0.0000)  18 Cu 2.94-3.25
Dy (0.1365, 0.1365, 0.1365)  12 Cu 2.89-3.20
Dy (0.8635, 0.8635, 0.8635)  12 Cu 2.89-3.20
Cu (0.0795, 0.5825, 0.5825)  7 Cu 2.48-2.57
Cu (0.3330, 0.3330, 0.3330)  6 Cu 2.48-2.50
Cu (0.4175, 0.4175, 0.9205)  7 Cu 2.48-2.57
Cu (0.4175, 0.9205, 0.4175)  7 Cu 2.48-2.57
Cu (0.5000, 0.5000, 0.5000)  6 Cu 2.57
Cu (0.5825, 0.0795, 0.5825)  7 Cu 2.48-2.57
Cu (0.5825, 0.5825, 0.0795)  7 Cu 2.48-2.57
Cu (0.6670, 0.6670, 0.6670)  6 Cu 2.48-2.50
Cu (0.9205, 0.4175, 0.4175)  7 Cu 2.48-2.57

Entry 2:
First-principles (GGA-PBE) data for crystalline LiDy2Cu3 at its relaxed geometry, as listed in Alexandria via LeMat-Bulk.

Summary:
calculated density = 7.68 g/cm³
magnetization = 0.00 μB per cell
E_tot = -48.49 eV/cell

Cell lengths 8.6243, 8.2444, 5.5635 Å; angles 74.48, 67.09, 38.43 degrees
With the nearest neighbours (Å) after each atom.
Sites, in units of the cell vectors:
Li (0.1670, 0.1670, 0.8330)  3 Cu 2.49-2.50
Li (0.8330, 0.8330, 0.1670)  3 Cu 2.49-2.50
Dy (0.2500, 0.2500, 0.2500)  8 Cu 3.04-3.05, 4 Li 3.05
Dy (0.2529, 0.7471, 0.7471)  10 Cu 3.02-3.06, 2 Li 3.06
Dy (0.7471, 0.2529, 0.2529)  10 Cu 3.02-3.06, 2 Li 3.06
Dy (0.7500, 0.7500, 0.7500)  8 Cu 3.04-3.05, 4 Li 3.05
Cu (0.1674, 0.6660, 0.3340)  2 Cu 2.48-2.49, 1 Li 2.50
Cu (0.3339, 0.3339, 0.6661)  2 Cu 2.48, 1 Li 2.49
Cu (0.3340, 0.8326, 0.1674)  2 Cu 2.48-2.49, 1 Li 2.50
Cu (0.6660, 0.1674, 0.8326)  2 Cu 2.48-2.49, 1 Li 2.50
Cu (0.6661, 0.6661, 0.3339)  2 Cu 2.48, 1 Li 2.49
Cu (0.8326, 0.3340, 0.6660)  2 Cu 2.48-2.49, 1 Li 2.50

Entry 3:
First-principles (GGA-PBE) data for crystalline Li2DyCu at its relaxed geometry, as listed in Alexandria via LeMat-Bulk.

Summary:
calculated density = 4.79 g/cm³
magnetization = 0.00 μB per cell
E_tot = -11.35 eV/cell

Cell lengths 10.2179, 10.2179, 10.2179 Å; angles 17.40, 17.40, 17.40 degrees
With the nearest neighbours (Å) after each atom.
Sites, in units of the cell vectors:
Li (0.1018, 0.1018, 0.1018)  3 Cu 2.65
Li (0.8982, 0.8982, 0.8982)  3 Cu 2.65
Dy (0.0000, 0.0000, 0.0000)  2 Li 3.07, 6 Dy 3.09
Cu (0.5000, 0.5000, 0.5000)  6 Li 2.65

Entry 4:
First-principles (GGA-PBE) data for crystalline Li2DyCu9 at its relaxed geometry, as listed in Alexandria via LeMat-Bulk.

Summary:
calculated density = 7.18 g/cm³
magnetization = 0.00 μB per cell
energy above the lowest structure with this stoichiometry = 0 meV per atom
E_tot = -46.76 eV/cell

Cell lengths 8.6185, 8.6185, 8.6185 Å; angles 33.44, 33.44, 33.44 degrees
With the nearest neighbours (Å) after each atom.
Sites, in units of the cell vectors:
Li (0.1477, 0.1477, 0.1477)  12 Cu 2.85-2.92, 3 Li 3.01
Li (0.8523, 0.8523, 0.8523)  12 Cu 2.85-2.92, 3 Li 3.01
Dy (0.0000, 0.0000, 0.0000)  6 Cu 2.86
Cu (0.0834, 0.5853, 0.5853)  7 Cu 2.46-2.53
Cu (0.3326, 0.3326, 0.3326)  6 Cu 2.50-2.53
Cu (0.4147, 0.4147, 0.9166)  7 Cu 2.46-2.53
Cu (0.4147, 0.9166, 0.4147)  7 Cu 2.46-2.53
Cu (0.5000, 0.5000, 0.5000)  6 Cu 2.46
Cu (0.5853, 0.0834, 0.5853)  7 Cu 2.46-2.53
Cu (0.5853, 0.5853, 0.0834)  7 Cu 2.46-2.53
Cu (0.6674, 0.6674, 0.6674)  6 Cu 2.50-2.53
Cu (0.9166, 0.4147, 0.4147)  7 Cu 2.46-2.53